1.
This record from the Alexandria database describes a relaxed structure of VCu2SbMo. The functional is PBE.

```
5
Lattice="4.5229 0.0000 0.0000 0.0000 4.5229 0.0000 0.0000 0.0000 4.9161" Properties=species:S:1:pos:R:3 pbc="T T T"
V 0.0000 0.0000 0.0000
Cu 0.0000 2.2614 0.0000
Cu 2.2614 0.0000 0.0000
Sb 0.0000 0.0000 2.4581
Mo 2.2614 2.2614 2.4581
```

Computed properties:
Its formation energy without anion corrections is 1328 meV per atom. The symmetry is No. 123. Its total magnetization is 4.28 μB/f.u.

---

2.
This record from the Alexandria database describes a relaxed structure of ErZnCo. The functional is PBE.

```
12
Lattice="4.6338 0.0000 0.0000 0.0000 7.6815 0.0000 0.0000 0.0000 6.2554" Properties=species:S:1:pos:R:3 pbc="T T T"
Er 0.0000 0.0000 0.0000
Er 0.0000 3.8407 0.0000
Er 2.3169 0.0000 3.1277
Er 2.3169 3.8407 3.1277
Zn 0.0000 1.9204 2.4487
Zn 0.0000 5.7611 3.8068
Zn 2.3169 1.9204 0.6791
Zn 2.3169 5.7611 5.5764
Co 1.1585 1.9204 4.6916
Co 1.1585 5.7611 1.5639
Co 3.4754 1.9204 4.6916
Co 3.4754 5.7611 1.5639
```

Computed properties:
As for the formation energy: -0.58 eV/f.u. The symmetry is No. 74. Its total magnetization is 0.57 μB/f.u.

---

3.
This record from the Alexandria database describes a relaxed structure of Sm2Mn3Bi6. The functional is PBE.

```
22
Lattice="10.3135 0.0000 0.0000 0.0000 4.4515 0.0000 -3.7695 0.0000 12.7737" Properties=species:S:1:pos:R:3 pbc="T T T"
Sm -0.5550 1.1129 4.0819
Sm -1.0862 3.3386 12.5232
Sm 7.6303 1.1129 0.2505
Sm 7.0991 3.3386 8.6918
Mn 0.4182 3.3386 9.0913
Mn 3.4391 1.1129 4.3192
Mn 1.9276 1.1129 9.7299
Mn 4.6165 3.3386 3.0438
Mn 3.1050 3.3386 8.4544
Mn 6.1259 1.1129 3.6824
Bi 0.5594 1.1129 0.9975
Bi -0.7040 3.3386 6.5130
Bi -1.1440 1.1129 10.0615
Bi 1.8147 3.3386 3.2600
Bi 1.8844 1.1129 6.8690
Bi 4.4884 1.1129 1.3675
Bi 2.0557 3.3386 11.4062
Bi 4.6597 3.3386 5.9047
Bi 4.7294 1.1129 9.5137
Bi 7.6881 3.3386 2.7122
Bi 7.2481 1.1129 6.2606
Bi 5.9847 3.3386 11.7762
```

Computed properties:
As for the formation energy: -2.15 eV/f.u. The symmetry is No. 11. Its total magnetization is 10.72 μB/f.u.

---

4.
This record from the Alexandria database describes a relaxed structure of CrAs2Cl. The functional is PBE.

```
8
Lattice="3.4318 0.0000 0.0000 0.0000 4.0649 0.0000 0.0000 0.0000 13.4439" Properties=species:S:1:pos:R:3 pbc="T T T"
Cr 0.0000 0.0000 0.0000
Cr 1.7159 2.0325 6.7220
As 0.0000 0.0000 7.3362
As 0.0000 2.0325 8.8188
As 1.7159 0.0000 2.0969
As 1.7159 2.0325 0.6143
Cl 0.0000 2.0325 4.9528
Cl 1.7159 0.0000 11.6748
```

Computed properties:
Its formation energy without anion corrections is -132 meV per atom. The symmetry is No. 44. Its total magnetization is 3.24 μB/f.u.

---

5.
This record from the Alexandria database describes a relaxed structure of CdAsBr2. The functional is PBE.

```
12
Lattice="3.5030 0.0000 0.0000 -1.7515 3.0337 0.0000 0.0000 0.0000 29.9013" Properties=species:S:1:pos:R:3 pbc="T T T"
Cd 0.0000 0.0000 0.0000
Cd 0.0000 2.0225 19.9342
Cd 1.7515 1.0112 9.9671
As 0.0000 0.0000 14.9506
As 0.0000 2.0225 4.9836
As 1.7515 1.0112 24.9177
Br 0.0000 0.0000 2.8476
Br 0.0000 0.0000 27.0537
Br 0.0000 2.0225 17.0866
Br 0.0000 2.0225 22.7818
Br 1.7515 1.0112 7.1195
Br 1.7515 1.0112 12.8147
```

Computed properties:
Its formation energy without anion corrections is 167 meV per atom. The symmetry is No. 166. Its total magnetization is 0.00 μB/f.u.

---

6.
This record from the Alexandria database describes a relaxed structure of Dy2Y8Tm3. The functional is PBE.

```
26
Lattice="11.6698 0.0000 0.0000 0.0000 20.5433 0.0000 0.0000 0.0000 3.5140" Properties=species:S:1:pos:R:3 pbc="T T T"
Dy 2.0873 2.0290 0.0000
Dy 3.7476 12.3007 0.0000
Dy 7.9222 8.2426 0.0000
Dy 9.5825 18.5143 0.0000
Y 0.5349 11.7574 0.0000
Y 0.6395 17.3084 1.7570
Y 1.4953 5.8368 0.0000
Y 2.4345 9.2336 1.7570
Y 3.4004 19.5053 1.7570
Y 4.3396 16.1085 0.0000
Y 5.1954 7.0367 1.7570
Y 5.3000 1.4857 0.0000
Y 6.3698 19.0576 0.0000
Y 6.4744 13.5066 1.7570
Y 7.3302 4.4349 0.0000
Y 8.2694 1.0380 1.7570
Y 9.2353 11.3097 1.7570
Y 10.1745 14.7065 0.0000
Y 11.0303 3.2350 1.7570
Y 11.1349 8.7859 0.0000
Tm 0.0000 0.0000 1.7570
Tm 1.7114 14.3866 1.7570
Tm 4.1235 4.1150 1.7570
Tm 5.8349 10.2717 1.7570
Tm 7.5463 16.4284 1.7570
Tm 9.9584 6.1567 1.7570
```

Computed properties:
As for the formation energy: 1.84 eV/f.u. The symmetry is No. 55. Its total magnetization is 0.00 μB/f.u.

---

7.
This record from the Alexandria database describes a relaxed structure of Nd5Sc2Sn5. The functional is PBE.

```
12
Lattice="6.2728 -2.3844 0.0000 6.2728 2.3844 0.0000 -6.0017 0.0000 11.8895" Properties=species:S:1:pos:R:3 pbc="T T T"
Nd 0.0000 0.0000 0.0000
Nd -1.0774 0.0000 6.1855
Nd -2.3394 0.0000 9.4127
Nd 8.8833 0.0000 2.4768
Nd 7.6214 0.0000 5.7040
Sc 1.5160 0.0000 8.4551
Sc 5.0280 0.0000 3.4344
Sn 0.4626 0.0000 3.3357
Sn 4.0294 0.0000 0.7023
Sn 3.2720 0.0000 5.9447
Sn 2.5145 0.0000 11.1872
Sn 6.0813 0.0000 8.5538
```

Computed properties:
As for the formation energy: -6.48 eV/f.u. The symmetry is No. 12. Its total magnetization is 0.00 μB/f.u.

---

8.
This record from the Alexandria database describes a relaxed structure of Ce3SbO2. The functional is PBE.

```
12
Lattice="4.7347 0.0000 0.0000 0.0000 4.7347 0.0000 0.0000 0.0000 11.6834" Properties=species:S:1:pos:R:3 pbc="T T T"
Ce 0.0000 0.0000 0.0000
Ce 0.0000 2.3674 2.9208
Ce 0.0000 2.3674 8.7625
Ce 2.3674 0.0000 2.9208
Ce 2.3674 0.0000 8.7625
Ce 2.3674 2.3674 5.8417
Sb 0.0000 0.0000 5.8417
Sb 2.3674 2.3674 0.0000
O 0.0000 0.0000 2.3898
O 0.0000 0.0000 9.2936
O 2.3674 2.3674 3.4519
O 2.3674 2.3674 8.2315
```

Computed properties:
Its formation energy without anion corrections is -2144 meV per atom. The symmetry is No. 139. Its total magnetization is 4.00 μB/f.u.